Crystalline Hf6Al2Zn at its relaxed geometry. Source: Alexandria, functional GGA-PBE.

Calculated values
energy relative to the elements: 227 meV per atom
theoretical density: 9.83 g cm⁻³
volume: 22.34 Å³/atom

Lattice parameters (Å, degrees): 4.558 6.446 7.899 114.08 106.74 90.00
Fractional coordinates of all 9 atoms:
Al: 0.666 0.666 0.333
Al: 0.334 0.334 0.667
Hf: 0.835 0.083 0.669
Hf: 0.835 0.586 0.669
Hf: 0.165 0.414 0.331
Hf: 0.500 0.248 0.000
Hf: 0.165 0.917 0.331
Hf: 0.500 0.752 0.000
Zn: 0.000 0.000 0.000

=====

Crystalline AlRuPb2 at its relaxed geometry. Source: Alexandria, functional GGA-PBE.

Calculated values
energy relative to the elements: 450 meV per atom
theoretical density: 9.99 g cm⁻³
volume: 22.54 Å³/atom

Lattice parameters (Å, degrees): 9.083 9.083 9.083 21.75 21.75 21.75
Fractional coordinates of all 4 atoms:
Pb: 0.509 0.509 0.509
Pb: 0.991 0.991 0.991
Al: 0.750 0.750 0.750
Ru: 0.250 0.250 0.250

=====

Crystalline Ba3Tl7Cd4 at its relaxed geometry. Source: Alexandria, functional GGA-PBE.

Calculated values
energy relative to the elements: -263 meV per atom
theoretical density: 8.51 g cm⁻³
volume: 31.94 Å³/atom

Lattice parameters (Å, degrees): 5.168 9.853 9.786 71.55 74.69 74.80
Fractional coordinates of all 14 atoms:
Tl: 0.850 0.378 0.921
Tl: 0.499 0.805 0.196
Tl: 0.334 0.797 0.535
Tl: 0.000 0.000 0.000
Tl: 0.150 0.622 0.079
Tl: 0.666 0.203 0.465
Tl: 0.501 0.195 0.804
Ba: 0.000 0.500 0.500
Ba: 0.307 0.191 0.195
Ba: 0.693 0.809 0.805
Cd: 0.143 0.088 0.626
Cd: 0.857 0.912 0.374
Cd: 0.343 0.525 0.788
Cd: 0.657 0.475 0.212

=====

Crystalline Al8TcAg2 at its relaxed geometry. Source: Alexandria, functional GGA-PBE.

Calculated values
energy relative to the elements: -64 meV per atom
theoretical density: 4.63 g cm⁻³
volume: 17.25 Å³/atom

Lattice parameters (Å, degrees): 4.532 4.961 9.073 105.57 104.46 90.00
Fractional coordinates of all 11 atoms:
Al: 0.351 0.900 0.702
Al: 0.251 0.339 0.502
Al: 0.578 0.533 0.155
Al: 0.422 0.467 0.845
Al: 0.974 0.212 0.948
Al: 0.649 0.100 0.298
Al: 0.026 0.788 0.052
Al: 0.749 0.661 0.498
Tc: 0.500 0.000 0.000
Ag: 0.180 0.777 0.359
Ag: 0.820 0.223 0.641

=====

Crystalline Li2MgHgF8 at its relaxed geometry. Source: Alexandria, functional GGA-PBE.

Calculated values
ΔE_f (raw): -2.199 eV/atom
theoretical density: 4.42 g cm⁻³
volume: 12.22 Å³/atom

Lattice parameters (Å, degrees): 4.747 4.710 6.564 90.00 90.00 91.60
Fractional coordinates of all 12 atoms:
Mg: 0.000 0.000 0.000
F: 0.299 0.296 0.000
F: 0.681 0.686 0.500
F: 0.196 0.798 0.234
F: 0.196 0.798 0.766
F: 0.804 0.202 0.234
F: 0.701 0.704 0.000
F: 0.319 0.314 0.500
F: 0.804 0.202 0.766
Hg: 0.000 0.000 0.500
Li: 0.500 0.500 0.778
Li: 0.500 0.500 0.222

=====

Crystalline Be3ReH at its relaxed geometry. Source: Alexandria, functional GGA-PBE.

Calculated values
theoretical density: 8.74 g cm⁻³
distance to the lowest polymorph of the same formula: 0 kJ/mol of formula units
volume: 8.14 Å³/atom

Lattice parameters (Å, degrees): 3.440 3.440 3.440 90.00 90.00 90.00
Fractional coordinates of all 5 atoms:
Be: 0.000 0.500 0.000
Be: 0.000 0.000 0.500
Be: 0.500 0.000 0.000
H: 0.000 0.000 0.000
Re: 0.500 0.500 0.500